# 1
## MgAl4P (PBE-GGA)

Data for crystalline MgAl4P at its relaxed geometry.

The space group is F-43m (No. 216) and the conventional cell measures 7.552, 7.552 and 7.552 Å, with angles of 90.00, 90.00 and 90.00 degrees. The inequivalent atoms are Mg at (0.000, 0.000, 0.000), Al at (0.125, 0.125, 0.375) and P at (0.250, 0.250, 0.750).

As for the energy: -3.442 eV per atom. The calculation puts the total magnetic moment at 0.00 μB/f.u.

=====

# 2
## Cd7Ag6 (PBE-GGA)

Data for crystalline Cd7Ag6 at its relaxed geometry.

The space group is R-3m (No. 166, hexagonal axes) and the conventional cell measures 5.6767, 5.6767 and 28.7959 Å, with angles of 90.00, 90.00 and 120.00 degrees. The inequivalent atoms are Cd at (0.0000, 0.0000, 0.0000), Cd at (0.0044, 0.5022, 0.4153), Ag at (0.0000, 0.0000, 0.1661), Ag at (0.0000, 0.0000, 0.3461) and Ag at (0.0000, 0.0000, 0.4508).

As for the energy: -1.737 eV per atom. The calculation puts the total magnetic moment at 0.00 μB/f.u.

=====

# 3
## PrGa4Hg (PBE-GGA)

Data for crystalline PrGa4Hg at its relaxed geometry.

The space group is F-43m (No. 216) and the conventional cell measures 8.022, 8.022 and 8.022 Å, with angles of 90.00, 90.00 and 90.00 degrees. The inequivalent atoms are Pr at (0.000, 0.000, 0.000), Ga at (0.125, 0.125, 0.375) and Hg at (0.250, 0.250, 0.750).

As for the energy: -3.102 eV per atom. The calculation puts the total magnetic moment at 0.00 μB/f.u.

=====

Which value of total magnetic moment does entry 1 give?
0.00 μB/f.u.

=====

Which of these has the lowest energy?
MgAl4P